First-principles (PBE-GGA) data for a relaxed structure of Sr2LaThP4, as listed in the Alexandria database.

The structure in POSCAR format:
```
Sr2LaThP4
1.0
4.296 0.000 0.000
0.000 7.464 0.131
0.000 -2.607 6.990
Sr La Th P
2 1 1 4
Cartesian
2.148 -1.304 3.495
0.000 2.429 3.560
0.000 0.000 0.000
2.148 3.732 0.065
2.148 1.270 1.637
2.148 3.587 5.484
0.000 -0.042 5.440
0.000 4.899 1.680
```

Values from the calculation:
- N(E_F) (states/eV/f.u.) = 9.3
- crystal system = monoclinic
- space-group type = P2/m (10)

First-principles (PBE-GGA) data for a relaxed structure of SrLa2TlP, as listed in the Alexandria database.

The structure in POSCAR format:
```
SrLa2TlP
1.0
5.646 0.000 0.000
0.000 5.646 0.000
0.000 0.000 5.726
Sr Tl P La
1 1 1 2
Cartesian
0.000 0.000 2.863
2.823 2.823 2.863
0.000 0.000 0.000
0.000 2.823 0.000
2.823 0.000 0.000
```

Values from the calculation:
- N(E_F) (states/eV/f.u.) = 7.0
- crystal system = tetragonal
- space-group type = P4/mmm (123)

First-principles (PBE-GGA) data for a relaxed structure of Sr3La2UP6, as listed in the Alexandria database.

The structure in POSCAR format:
```
Sr3La2UP6
1.0
-2.526 -0.153 -6.929
7.034 -1.727 1.397
-3.316 -6.051 2.663
Sr La U P
3 2 1 6
Cartesian
3.753 -4.485 1.314
-2.560 -3.446 -4.184
0.596 -3.966 -1.435
3.844 -1.202 -1.382
0.665 -0.678 -4.150
0.000 0.000 0.000
-0.563 -5.933 -3.479
2.746 -2.759 -3.674
1.755 -1.998 0.610
2.367 -6.416 -0.928
-1.553 -5.172 0.805
-1.174 -1.515 -1.941
```

Values from the calculation:
- crystal system = monoclinic
- space-group type = C2/m (12)

First-principles (PBE-GGA) data for a relaxed structure of Sr3LaU2P6, as listed in the Alexandria database.

The structure in POSCAR format:
```
Sr3LaU2P6
1.0
7.264 -0.001 -0.002
-3.631 6.292 -0.002
-1.213 -2.101 6.941
Sr La U P
3 1 2 6
Cartesian
-2.453 4.211 3.469
4.873 -0.021 3.469
1.210 2.095 3.469
0.000 0.000 0.000
-0.004 4.197 -0.002
3.637 2.094 -0.002
3.700 1.969 5.447
2.352 4.073 1.495
-1.280 2.221 1.492
-0.144 4.188 5.447
0.068 0.117 5.444
2.564 0.002 1.492
```

Values from the calculation:
- N(E_F) (states/eV/f.u.) = 12.6
- crystal system = monoclinic
- space-group type = C2/m (12)

First-principles (PBE-GGA) data for a relaxed structure of Sr2LaZrP, as listed in the Alexandria database.

The structure in POSCAR format:
```
Sr2LaZrP
1.0
6.468 0.000 0.000
0.000 5.239 0.000
0.000 0.000 6.468
Sr P Zr La
2 1 1 1
Cartesian
0.000 0.000 3.234
3.234 0.000 0.000
0.000 2.619 0.000
3.234 2.619 3.234
0.000 0.000 0.000
```

Values from the calculation:
- N(E_F) (states/eV/f.u.) = 6.0
- crystal system = tetragonal
- space-group type = P4/mmm (123)

First-principles (PBE-GGA) data for a relaxed structure of LaTaP2, as listed in the Alexandria database.

The structure in POSCAR format:
```
LaTaP2
1.0
8.921 -0.041 -0.024
8.354 3.129 -0.024
8.354 1.493 2.749
La P Ta
1 2 1
Cartesian
19.055 3.405 2.008
25.130 4.491 2.648
6.571 1.174 0.692
13.318 2.380 1.403
```

Values from the calculation:
- N(E_F) (states/eV/f.u.) = 4.4
- crystal system = trigonal
- E above lowest polymorph (eV/atom) = 1.214
- space-group type = R3m (160)

First-principles (PBE-GGA) data for a relaxed structure of La2TaP, as listed in the Alexandria database.

The structure in POSCAR format:
```
La2TaP
1.0
-3.553 -0.588 -1.273
1.404 -1.573 -3.191
1.348 -7.858 -0.135
La P Ta
2 1 1
Cartesian
1.404 -1.736 -3.115
1.376 -4.552 -1.738
-1.089 -2.651 -1.468
0.287 -7.367 -3.131
```

Values from the calculation:
- N(E_F) (states/eV/f.u.) = 4.1
- crystal system = monoclinic
- space-group type = P2/m (10)

First-principles (PBE-GGA) data for a relaxed structure of La2TaP, as listed in the Alexandria database.

The structure in POSCAR format:
```
La2TaP
1.0
3.425 0.000 0.000
0.000 3.425 0.000
0.000 0.000 8.766
La P Ta
2 1 1
Cartesian
0.000 0.000 8.174
1.713 1.713 2.882
0.000 0.000 4.934
1.713 1.713 5.926
```

Values from the calculation:
- N(E_F) (states/eV/f.u.) = 3.4
- crystal system = tetragonal
- space-group type = P4mm (99)

First-principles (PBE-GGA) data for a relaxed structure of LaTaP2, as listed in the Alexandria database.

The structure in POSCAR format:
```
LaTaP2
1.0
-0.106 4.807 -0.114
-2.232 -0.119 -2.931
-5.049 -0.075 1.533
La P Ta
1 2 1
Cartesian
-5.604 2.265 -0.748
-5.090 -0.082 1.275
-2.769 2.331 -0.593
-2.613 -0.072 -0.612
```

Values from the calculation:
- N(E_F) (states/eV/f.u.) = 1.0
- crystal system = orthorhombic
- E above lowest polymorph (eV/atom) = 0.259
- space-group type = Amm2 (38)

First-principles (PBE-GGA) data for a relaxed structure of LaTaP, as listed in the Alexandria database.

The structure in POSCAR format:
```
LaTaP
1.0
-3.619 -4.816 -1.007
-0.472 -6.057 -0.634
-0.841 -1.212 3.067
La P Ta
1 1 1
Cartesian
-0.850 -1.239 3.054
-1.778 -3.997 1.710
-3.146 -8.062 -0.271
```

Values from the calculation:
- N(E_F) (states/eV/f.u.) = 1.6
- crystal system = tetragonal
- space-group type = I4mm (107)

First-principles (PBE-GGA) data for a relaxed structure of LaTaP, as listed in the Alexandria database.

The structure in POSCAR format:
```
LaTaP
1.0
-0.179 -4.837 0.860
-0.089 -3.163 -3.762
3.922 -2.810 -0.942
La P Ta
1 1 1
Cartesian
2.740 -8.107 -2.883
0.000 0.000 0.000
1.827 -5.405 -1.922
```

Values from the calculation:
- N(E_F) (states/eV/f.u.) = 2.9
- crystal system = cubic
- space-group type = F-43m (216)

First-principles (PBE-GGA) data for a relaxed structure of LaTaP2, as listed in the Alexandria database.

The structure in POSCAR format:
```
LaTaP2
1.0
-1.895 4.060 -1.573
-4.422 1.197 1.249
-0.725 3.603 3.007
La P Ta
1 2 1
Cartesian
-3.521 4.430 1.342
0.000 0.000 0.000
-1.760 2.215 0.671
-5.281 6.645 2.013
```

Values from the calculation:
- N(E_F) (states/eV/f.u.) = 4.0
- crystal system = cubic
- E above lowest polymorph (eV/atom) = 1.392
- space-group type = F-43m (216)

Respective calculated formation energy values: -10.1; -3.1; -14.8; -13.6; 5.0; 0.6; -0.4; -1.5; -3.2; -1.5; 3.3; 1.3 eV/f.u..